[1]
Here is MoCF3 after structural relaxation from the Alexandria database. Energies are from GGA+U.

Results
E_tot in eV/cell: -21.037
ρ in g cm⁻³: 4.38
D(E_F) in states/eV/atom: 0.50

a b c (Å): 3.9684 3.9684 3.9684
angles (deg): 90.00 90.00 90.00
Last column: nearest neighbours and their distance in Å.
Sites, in units of the cell vectors:
F: 0.5000 0.0000 0.0000  2 C 1.98
F: 0.0000 0.0000 0.5000  2 C 1.98
F: 0.0000 0.5000 0.0000  2 C 1.98
Mo: 0.5000 0.5000 0.5000  12 F 2.81
C: 0.0000 0.0000 0.0000  6 F 1.98

[2]
Here is NbVHgO6 after structural relaxation from the Alexandria database. Energies are from GGA+U.

Results
E_tot in eV/cell: -63.082
ρ in g cm⁻³: 6.22
D(E_F) in states/eV/atom: 0.00

a b c (Å): 5.2172 5.2183 4.9841
angles (deg): 90.09 89.91 60.04
Last column: nearest neighbours and their distance in Å.
Sites, in units of the cell vectors:
O: 0.6173 0.3706 0.7164  1 V 1.79
O: 0.3597 0.6227 0.2850  1 Nb 1.91, 1 V 2.06
O: 0.0116 0.6186 0.7163  1 V 1.79
O: 0.6243 0.0167 0.2848  1 Nb 1.91, 1 V 2.06
O: 0.0175 0.3586 0.2848  1 Nb 1.91, 1 V 2.07
O: 0.3691 0.0127 0.7161  1 V 1.79
V: 0.3334 0.3336 0.5496  3 O 1.79
Nb: 0.6666 0.6666 0.4472  3 O 1.91
Hg: 0.0003 0.9999 0.9996  6 O 2.39-2.43

What did the second record say?
Here is NbVHgO6 after structural relaxation from the Alexandria database. Energies are from GGA+U.

Results
E_tot in eV/cell: -63.082
ρ in g cm⁻³: 6.22
D(E_F) in states/eV/atom: 0.00

a b c (Å): 5.2172 5.2183 4.9841
angles (deg): 90.09 89.91 60.04
Last column: nearest neighbours and their distance in Å.
Sites, in units of the cell vectors:
O: 0.6173 0.3706 0.7164  1 V 1.79
O: 0.3597 0.6227 0.2850  1 Nb 1.91, 1 V 2.06
O: 0.0116 0.6186 0.7163  1 V 1.79
O: 0.6243 0.0167 0.2848  1 Nb 1.91, 1 V 2.06
O: 0.0175 0.3586 0.2848  1 Nb 1.91, 1 V 2.07
O: 0.3691 0.0127 0.7161  1 V 1.79
V: 0.3334 0.3336 0.5496  3 O 1.79
Nb: 0.6666 0.6666 0.4472  3 O 1.91
Hg: 0.0003 0.9999 0.9996  6 O 2.39-2.43